SnH16C4Br6N2 | Alexandria via LeMat-Bulk | meta-GGA SCAN | single point on PBEsol structure; final energy = -278.75 eV per formula unit
1.0
9.2831 0.0000 0.0000
0.0000 12.8613 0.0000
0.0000 0.0000 7.4078
Sn H C Br N
2 32 8 12 4
direct
0.0000 0.0000 0.0000 Sn
0.5000 0.5000 0.5000 Sn
0.0705 0.3103 0.3787 H
0.0705 0.3103 0.6213 H
0.0786 0.7474 0.5000 H
0.0831 0.1224 0.3884 H
0.0831 0.1224 0.6116 H
0.1780 0.5990 0.0000 H
0.1943 0.7205 0.1212 H
0.1943 0.7205 0.8788 H
0.3057 0.2205 0.3788 H
0.3057 0.2205 0.6212 H
0.3220 0.0990 0.5000 H
0.4169 0.6224 0.1116 H
0.4169 0.6224 0.8884 H
0.4214 0.2474 0.0000 H
0.4295 0.8103 0.1213 H
0.4295 0.8103 0.8787 H
0.5705 0.1897 0.1213 H
0.5705 0.1897 0.8787 H
0.5786 0.7526 0.0000 H
0.5831 0.3776 0.1116 H
0.5831 0.3776 0.8884 H
0.6780 0.9010 0.5000 H
0.6943 0.7795 0.3788 H
0.6943 0.7795 0.6212 H
0.8057 0.2795 0.1212 H
0.8057 0.2795 0.8788 H
0.8220 0.4010 0.0000 H
0.9169 0.8776 0.3884 H
0.9169 0.8776 0.6116 H
0.9214 0.2526 0.5000 H
0.9295 0.6897 0.3787 H
0.9295 0.6897 0.6213 H
0.0383 0.2669 0.5000 C
0.2263 0.6770 0.0000 C
0.2737 0.1770 0.5000 C
0.4617 0.7669 0.0000 C
0.5383 0.2331 0.0000 C
0.7263 0.8230 0.5000 C
0.7737 0.3230 0.0000 C
0.9617 0.7331 0.5000 C
0.1220 0.1838 0.0000 Br
0.1772 0.9380 0.2544 Br
0.1772 0.9380 0.7456 Br
0.3228 0.4380 0.2456 Br
0.3228 0.4380 0.7544 Br
0.3780 0.6838 0.5000 Br
0.6220 0.3162 0.5000 Br
0.6772 0.5620 0.2456 Br
0.6772 0.5620 0.7544 Br
0.8228 0.0620 0.2544 Br
0.8228 0.0620 0.7456 Br
0.8780 0.8162 0.0000 Br
0.1150 0.1661 0.5000 N
0.3850 0.6661 0.0000 N
0.6150 0.3339 0.0000 N
0.8850 0.8339 0.5000 N